No. 1
Here is Cs3AgPb after structural relaxation from Alexandria via LeMat-Bulk. Energies are from PBE.

a = 6.934 Å, b = 6.934 Å, c = 6.934 Å
α = 90.00°, β = 90.00°, γ = 90.00°
Fractional positions:
Cs 0.000 0.000 0.500
Cs 0.000 0.500 0.000
Cs 0.500 0.000 0.000
Ag 0.000 0.000 0.000
Pb 0.500 0.500 0.500

## Properties
DOS at the Fermi energy (states/eV/cell): 5.773
M_tot (Bohr magnetons per cell): 2.00
Electronic total energy (eV for the cell shown): -8.22
Polymorph energy (0 for the lowest one) (eV per formula unit): 0.66
Crystal system: cubic
Energy of formation (eV per atom): 0.180
SG: No. 221



No. 2
Here is Ca2AlZn4Ga3 after structural relaxation from Alexandria via LeMat-Bulk. Energies are from PBE.

a = 4.174 Å, b = 4.174 Å, c = 11.140 Å
α = 90.00°, β = 90.00°, γ = 90.00°
Fractional positions:
Ca 0.000 0.500 0.245
Ca 0.500 0.000 0.755
Al 0.000 0.000 0.500
Zn 0.000 0.000 0.000
Zn 0.000 0.500 0.641
Zn 0.500 0.000 0.359
Zn 0.500 0.500 0.000
Ga 0.000 0.500 0.864
Ga 0.500 0.000 0.136
Ga 0.500 0.500 0.500

## Properties
DOS at the Fermi energy (states/eV/cell): 3.852
M_tot (Bohr magnetons per cell): 0.00
Electronic total energy (eV for the cell shown): -25.14
Crystal system: tetragonal
Energy of formation (eV per atom): -0.322
SG: No. 115



No. 3
Here is BPtAu3 after structural relaxation from Alexandria via LeMat-Bulk. Energies are from PBE.

a = 4.333 Å, b = 4.333 Å, c = 4.333 Å
α = 90.00°, β = 90.00°, γ = 90.00°
Fractional positions:
B 0.000 0.000 0.000
Pt 0.500 0.500 0.500
Au 0.000 0.000 0.500
Au 0.000 0.500 0.000
Au 0.500 0.000 0.000

## Properties
DOS at the Fermi energy (states/eV/cell): 1.307
M_tot (Bohr magnetons per cell): 0.00
Electronic total energy (eV for the cell shown): -20.49
Polymorph energy (0 for the lowest one) (eV per formula unit): 0.00
Crystal system: cubic
Energy of formation (eV per atom): 0.412
SG: No. 221



No. 4
Here is Li2TlHPt after structural relaxation from Alexandria via LeMat-Bulk. Energies are from PBE.

a = 3.946 Å, b = 3.946 Å, c = 4.635 Å
α = 90.00°, β = 90.00°, γ = 90.00°
Fractional positions:
Li 0.000 0.500 0.000
Li 0.500 0.000 0.000
Tl 0.000 0.000 0.500
H 0.000 0.000 0.000
Pt 0.500 0.500 0.500

## Properties
DOS at the Fermi energy (states/eV/cell): 1.718
M_tot (Bohr magnetons per cell): 0.00
Electronic total energy (eV for the cell shown): -16.68
Polymorph energy (0 for the lowest one) (eV per formula unit): 0.82
Crystal system: tetragonal
SG: No. 123



No. 5
Here is BaSrH after structural relaxation from Alexandria via LeMat-Bulk. Energies are from PBE.

a = 8.161 Å, b = 8.161 Å, c = 7.471 Å
α = 116.36°, β = 116.36°, γ = 30.90°
Fractional positions:
Ba 0.000 0.000 0.000
Ba 0.503 0.503 0.470
Sr 0.231 0.231 0.541
Sr 0.740 0.740 0.071
H 0.058 0.058 0.381
H 0.625 0.625 0.257

## Properties
DOS at the Fermi energy (states/eV/cell): 3.188
M_tot (Bohr magnetons per cell): 0.00
Electronic total energy (eV for the cell shown): -15.21
Polymorph energy (0 for the lowest one) (eV per formula unit): 0.04
Crystal system: monoclinic
SG: No. 8



No. 6
Here is K2WBr5 after structural relaxation from Alexandria via LeMat-Bulk. Energies are from PBE.

a = 7.320 Å, b = 7.320 Å, c = 7.320 Å
α = 114.46°, β = 114.46°, γ = 99.89°
Fractional positions:
K 0.000 0.500 0.500
K 0.500 0.000 0.500
W 0.224 0.224 0.000
Br 0.027 0.027 0.543
Br 0.027 0.484 0.000
Br 0.484 0.027 0.000
Br 0.484 0.484 0.457
Br 0.964 0.964 0.000

## Properties
Formation energy (no corrections) (meV/atom): -907
M_tot (Bohr magnetons per cell): 3.00
Electronic total energy (eV for the cell shown): -30.77
Crystal system: tetragonal
SG: No. 107



No. 7
Here is Mn5BeRe2B2 after structural relaxation from Alexandria via LeMat-Bulk. Energies are from PBE.

a = 8.553 Å, b = 8.553 Å, c = 2.800 Å
α = 90.00°, β = 90.00°, γ = 90.00°
Fractional positions:
Mn 0.000 0.500 0.000
Mn 0.063 0.209 0.000
Mn 0.209 0.937 0.000
Mn 0.291 0.437 0.000
Mn 0.437 0.709 0.000
Mn 0.500 0.000 0.000
Mn 0.563 0.291 0.000
Mn 0.709 0.563 0.000
Mn 0.791 0.063 0.000
Mn 0.937 0.791 0.000
Be 0.000 0.000 0.500
Be 0.500 0.500 0.500
Re 0.179 0.679 0.500
Re 0.321 0.179 0.500
Re 0.679 0.821 0.500
Re 0.821 0.321 0.500
B 0.126 0.374 0.500
B 0.374 0.874 0.500
B 0.626 0.126 0.500
B 0.874 0.626 0.500

## Properties
DOS at the Fermi energy (states/eV/cell): 14.870
M_tot (Bohr magnetons per cell): 7.20
Electronic total energy (eV for the cell shown): -180.20
Crystal system: tetragonal
Energy of formation (eV per atom): -0.227
SG: No. 127



No. 8
Here is Li2GeRhN after structural relaxation from Alexandria via LeMat-Bulk. Energies are from PBE.

a = 4.691 Å, b = 4.691 Å, c = 4.624 Å
α = 90.00°, β = 90.00°, γ = 90.00°
Fractional positions:
Li 0.000 0.500 0.000
Li 0.500 0.000 0.000
Ge 0.000 0.000 0.500
Rh 0.000 0.000 0.000
N 0.500 0.500 0.500

## Properties
DOS at the Fermi energy (states/eV/cell): 2.026
Formation energy (no corrections) (meV/atom): 937
M_tot (Bohr magnetons per cell): 1.89
Electronic total energy (eV for the cell shown): -19.44
Polymorph energy (0 for the lowest one) (eV per formula unit): 5.91
Crystal system: tetragonal
SG: No. 123



Copy entry 7 word for word.
Here is Mn5BeRe2B2 after structural relaxation from Alexandria via LeMat-Bulk. Energies are from PBE.

a = 8.553 Å, b = 8.553 Å, c = 2.800 Å
α = 90.00°, β = 90.00°, γ = 90.00°
Fractional positions:
Mn 0.000 0.500 0.000
Mn 0.063 0.209 0.000
Mn 0.209 0.937 0.000
Mn 0.291 0.437 0.000
Mn 0.437 0.709 0.000
Mn 0.500 0.000 0.000
Mn 0.563 0.291 0.000
Mn 0.709 0.563 0.000
Mn 0.791 0.063 0.000
Mn 0.937 0.791 0.000
Be 0.000 0.000 0.500
Be 0.500 0.500 0.500
Re 0.179 0.679 0.500
Re 0.321 0.179 0.500
Re 0.679 0.821 0.500
Re 0.821 0.321 0.500
B 0.126 0.374 0.500
B 0.374 0.874 0.500
B 0.626 0.126 0.500
B 0.874 0.626 0.500

## Properties
DOS at the Fermi energy (states/eV/cell): 14.870
M_tot (Bohr magnetons per cell): 7.20
Electronic total energy (eV for the cell shown): -180.20
Crystal system: tetragonal
Energy of formation (eV per atom): -0.227
SG: No. 127



Copy entry 3 word for word.
Here is BPtAu3 after structural relaxation from Alexandria via LeMat-Bulk. Energies are from PBE.

a = 4.333 Å, b = 4.333 Å, c = 4.333 Å
α = 90.00°, β = 90.00°, γ = 90.00°
Fractional positions:
B 0.000 0.000 0.000
Pt 0.500 0.500 0.500
Au 0.000 0.000 0.500
Au 0.000 0.500 0.000
Au 0.500 0.000 0.000

## Properties
DOS at the Fermi energy (states/eV/cell): 1.307
M_tot (Bohr magnetons per cell): 0.00
Electronic total energy (eV for the cell shown): -20.49
Polymorph energy (0 for the lowest one) (eV per formula unit): 0.00
Crystal system: cubic
Energy of formation (eV per atom): 0.412
SG: No. 221



What did the eighth record say?
Here is Li2GeRhN after structural relaxation from Alexandria via LeMat-Bulk. Energies are from PBE.

a = 4.691 Å, b = 4.691 Å, c = 4.624 Å
α = 90.00°, β = 90.00°, γ = 90.00°
Fractional positions:
Li 0.000 0.500 0.000
Li 0.500 0.000 0.000
Ge 0.000 0.000 0.500
Rh 0.000 0.000 0.000
N 0.500 0.500 0.500

## Properties
DOS at the Fermi energy (states/eV/cell): 2.026
Formation energy (no corrections) (meV/atom): 937
M_tot (Bohr magnetons per cell): 1.89
Electronic total energy (eV for the cell shown): -19.44
Polymorph energy (0 for the lowest one) (eV per formula unit): 5.91
Crystal system: tetragonal
SG: No. 123



Question: Among the records above, which one has the highest electronic total energy?
Answer: Cs3AgPb